Entry 1:
Here is an optimized crystal structure of Ca2MgSi3Pd4 from Alexandria via LeMat-Bulk. Energies are from PBE.

a b c (Å): 4.197 4.197 10.456
angles (deg): 90.00 90.00 90.00
Fractional positions:
Ca: 0.500 0.000 0.242
Ca: 0.000 0.500 0.758
Mg: 0.500 0.500 0.500
Si: 0.000 0.000 0.500
Si: 0.500 0.000 0.875
Si: 0.000 0.500 0.125
Pd: 0.500 0.500 0.000
Pd: 0.000 0.000 0.000
Pd: 0.500 0.000 0.645
Pd: 0.000 0.500 0.355

Properties
The calculated density is 5.5 g/cm³. Its total energy is -5.01 eV per atom. The spin magnetization is 0.00 Bohr magnetons per cell. Its raw formation energy is -7.46 eV/f.u. Its density of states at the Fermi level is 5.28 states/eV/f.u. The symmetry is No. 115.

Entry 2:
Here is an optimized crystal structure of CaMg2Si2Pd from Alexandria via LeMat-Bulk. Energies are from PBE.

a b c (Å): 5.182 5.182 6.503
angles (deg): 113.48 113.48 90.00
Fractional positions:
Ca: 0.500 0.500 0.000
Mg: 0.250 0.750 0.500
Mg: 0.750 0.250 0.500
Si: 0.785 0.785 0.570
Si: 0.215 0.215 0.430
Pd: 0.000 0.000 0.000

Properties
The calculated density is 2.9 g/cm³. Its total energy is -3.58 eV per atom. The spin magnetization is 0.00 Bohr magnetons per cell. Its raw formation energy is -0.25 eV/f.u. Its density of states at the Fermi level is 2.23 states/eV/f.u. The symmetry is No. 139.

Q: Which value of spin magnetization does entry 1 give?
A: 0.00 Bohr magnetons per cell

Q: spin magnetization of number 2 (CaMg2Si2Pd)?
A: 0.00 Bohr magnetons per cell

Q: Which value of calculated density does entry 1 give?
A: 5.5 g/cm³

Q: What is the raw formation energy in the first record?
A: -7.46 eV/f.u.